1.
DFT (PBE-GGA) results for a relaxed structure of Y2Mo3P4.

The structure belongs to space group P2_1/c (No. 14); the cell edges are 6.689, 6.759 and 7.071 Å and the angles 90.00°, 112.24° and 90.00°. The distinct sites, in fractional coordinates, are Y at (0.192, 0.178, 0.057), Mo at (0.255, 0.637, 0.255), Mo at (0.500, 0.000, 0.500), P at (0.096, 0.560, 0.849) and P at (0.477, 0.648, 0.630).

As for the calculated volume: 16.44 A^3/atom.


2.
DFT (PBE-GGA) results for a relaxed structure of YMoP3.

The structure belongs to space group Pm-3m (No. 221); the cell edges are 4.700, 4.700 and 4.700 Å and the angles 90.00°, 90.00° and 90.00°. The distinct sites, in fractional coordinates, are Y at (0.000, 0.000, 0.000), Mo at (0.500, 0.500, 0.500) and P at (0.000, 0.500, 0.500).

For the distance to the lowest polymorph of the same formula, the calculation gives 0.0 kJ/mol of formula units. As for the calculated volume: 20.77 A^3/atom.


3.
DFT (PBE-GGA) results for a relaxed structure of YMo4P.

The structure belongs to space group F-43m (No. 216); the cell edges are 7.567, 7.567 and 7.567 Å and the angles 90.00°, 90.00° and 90.00°. The distinct sites, in fractional coordinates, are Y at (0.000, 0.000, 0.000), Mo at (0.124, 0.124, 0.624) and P at (0.250, 0.250, 0.250).

As for the calculated volume: 18.05 A^3/atom.


4.
DFT (PBE-GGA) results for a relaxed structure of YMoP3.

The structure belongs to space group Pm-3m (No. 221); the cell edges are 5.028, 5.028 and 5.028 Å and the angles 90.00°, 90.00° and 90.00°. The distinct sites, in fractional coordinates, are Y at (0.000, 0.000, 0.000), Mo at (0.500, 0.500, 0.500) and P at (0.000, 0.000, 0.500).

For the distance to the lowest polymorph of the same formula, the calculation gives 813.0 kJ/mol of formula units. As for the calculated volume: 25.42 A^3/atom.


5.
DFT (PBE-GGA) results for a relaxed structure of Y2Mo2P.

The structure belongs to space group P4/mbm (No. 127); the cell edges are 7.374, 7.374 and 4.581 Å and the angles 90.00°, 90.00° and 90.00°. The distinct sites, in fractional coordinates, are Y at (0.173, 0.327, 0.000), Mo at (0.103, 0.603, 0.500) and P at (0.000, 0.000, 0.000).

For the distance to the lowest polymorph of the same formula, the calculation gives 243.1 kJ/mol of formula units. As for the calculated volume: 24.91 A^3/atom.


6.
DFT (PBE-GGA) results for a relaxed structure of Y2MoP2.

The structure belongs to space group P4/mbm (No. 127); the cell edges are 6.744, 6.744 and 4.108 Å and the angles 90.00°, 90.00° and 90.00°. The distinct sites, in fractional coordinates, are Y at (0.174, 0.326, 0.000), Mo at (0.000, 0.000, 0.500) and P at (0.135, 0.635, 0.500).

For the distance to the lowest polymorph of the same formula, the calculation gives 0.0 kJ/mol of formula units. As for the calculated volume: 18.68 A^3/atom.


7.
DFT (PBE-GGA) results for a relaxed structure of Y2Mo2P.

The structure belongs to space group I4/mmm (No. 139); the cell edges are 3.578, 3.578 and 17.212 Å and the angles 90.00°, 90.00° and 90.00°. The distinct sites, in fractional coordinates, are Y at (0.000, 0.000, 0.095), Mo at (0.000, 0.500, 0.250) and P at (0.000, 0.000, 0.500).

For the distance to the lowest polymorph of the same formula, the calculation gives 0.0 kJ/mol of formula units. As for the calculated volume: 22.04 A^3/atom.


8.
DFT (PBE-GGA) results for a relaxed structure of YMo3P.

The structure belongs to space group Pm-3m (No. 221); the cell edges are 4.826, 4.826 and 4.826 Å and the angles 90.00°, 90.00° and 90.00°. The distinct sites, in fractional coordinates, are Y at (0.000, 0.000, 0.000), Mo at (0.000, 0.000, 0.500) and P at (0.500, 0.500, 0.500).

For the distance to the lowest polymorph of the same formula, the calculation gives 1210.1 kJ/mol of formula units. As for the calculated volume: 22.48 A^3/atom.


| no. | calculated total energy (eV per cell) | energy of formation from the pure elements (eV/atom) |
| --- | --- | --- |
| 1 | -149.76 | -0.87 |
| 2 | -34.19 | -0.13 |
| 3 | -211.49 | 0.39 |
| 4 | -25.76 | 1.55 |
| 5 | -76.32 | 0.37 |
| 6 | -78.64 | -0.95 |
| 7 | -81.36 | -0.14 |
| 8 | -30.73 | 2.73 |